This record from the Alexandria database describes an optimized crystal structure of CaYReSb2. The functional is PBE.

Geometry as POSCAR:
```
CaYReSb2
1.0
5.370 0.000 0.000
0.000 5.111 0.000
0.000 0.000 5.370
Re Sb Y Ca
1 2 1 1
Direct
0.500 0.500 0.500 Re
0.500 0.000 0.000 Sb
0.000 0.000 0.500 Sb
0.000 0.500 0.000 Y
0.000 0.000 0.000 Ca
```

Values from the calculation:
ΔE_f (raw) = 9.291 eV per formula unit
N(E_F) = 8.81 states/eV/cell
SG = No. 123
Spin magnetization = 0.00 μB per formula unit



This record from the Alexandria database describes an optimized crystal structure of CaSc2Re. The functional is PBE.

Geometry as POSCAR:
```
CaSc2Re
1.0
3.601 0.000 0.000
0.000 3.601 0.000
0.000 0.000 7.477
Sc Ca Re
2 1 1
Direct
0.500 0.500 0.184 Sc
0.000 0.000 0.952 Sc
0.000 0.000 0.544 Ca
0.500 0.500 0.820 Re
```

Values from the calculation:
E above lowest polymorph = 4.99 kcal/mol of atoms
N(E_F) = 4.97 states/eV/cell
SG = No. 99
Formation enthalpy at 0 K = 0.24 eV/atom
Spin magnetization = 0.00 μB per formula unit



This record from the Alexandria database describes an optimized crystal structure of CaSc2Re. The functional is PBE.

Geometry as POSCAR:
```
CaSc2Re
1.0
0.000 3.466 3.466
3.466 0.000 3.466
3.466 3.466 0.000
Re Sc Ca
1 2 1
Direct
0.500 0.500 0.500 Re
0.250 0.250 0.250 Sc
0.750 0.750 0.750 Sc
0.000 0.000 0.000 Ca
```

Values from the calculation:
E above lowest polymorph = 5.31 kcal/mol of atoms
N(E_F) = 7.94 states/eV/cell
SG = No. 225
Formation enthalpy at 0 K = 0.25 eV/atom
Spin magnetization = 0.00 μB per formula unit



This record from the Alexandria database describes an optimized crystal structure of CaScRe. The functional is PBE.

Geometry as POSCAR:
```
CaScRe
1.0
-1.521 5.926 4.977
-3.494 6.330 2.681
-1.540 -1.302 2.294
Ca Re Sc
1 1 1
Direct
0.021 0.021 0.979 Ca
0.675 0.675 0.325 Re
0.304 0.304 0.696 Sc
```

Values from the calculation:
E above lowest polymorph = 1.57 kcal/mol of atoms
N(E_F) = 3.22 states/eV/cell
SG = No. 42
Formation enthalpy at 0 K = 0.43 eV/atom
Spin magnetization = 0.00 μB per formula unit



This record from the Alexandria database describes an optimized crystal structure of CaSc2Re. The functional is PBE.

Geometry as POSCAR:
```
CaSc2Re
1.0
6.589 0.047 -0.010
3.935 5.285 0.010
-4.808 -3.562 2.758
Sc Ca Re
2 1 1
Direct
0.744 0.244 0.500 Sc
0.070 0.070 0.000 Sc
0.449 0.449 0.000 Ca
0.238 0.738 0.500 Re
```

Values from the calculation:
E above lowest polymorph = 6.35 kcal/mol of atoms
N(E_F) = 4.57 states/eV/cell
SG = No. 44
Formation enthalpy at 0 K = 0.30 eV/atom
Spin magnetization = 0.00 μB per formula unit



This record from the Alexandria database describes an optimized crystal structure of CaSc3Re. The functional is PBE.

Geometry as POSCAR:
```
CaSc3Re
1.0
-0.918 2.811 -3.706
-2.338 -3.544 -2.109
-4.021 1.419 2.072
Re Ca Sc
1 1 3
Direct
0.500 0.500 0.500 Re
0.000 0.000 0.000 Ca
0.500 0.000 0.000 Sc
0.000 0.000 0.500 Sc
0.000 0.500 0.000 Sc
```

Values from the calculation:
E above lowest polymorph = 38.98 kcal/mol of atoms
N(E_F) = 9.33 states/eV/cell
SG = No. 221
Formation enthalpy at 0 K = 1.81 eV/atom
Spin magnetization = 0.94 μB per formula unit